No. 1
First-principles (PBE-GGA) data for a geometry-optimized Dy8Tl2Os structure, as listed in Alexandria via LeMat-Bulk.

Total energy in eV/atom: -4.9940

Unit cell a=18.324 b=5.272 c=6.924 alpha=90.00 beta=112.02 gamma=90.00
Space group C2/m (No. 12)
Unique sites:
Dy1 0.016 0.000 0.290 (multiplicity 4)
Dy2 0.091 0.500 0.926 (multiplicity 4)
Dy3 0.146 0.500 0.457 (multiplicity 4)
Dy4 0.201 0.000 0.796 (multiplicity 4)
Tl1 0.176 0.000 0.215 (multiplicity 4)
Os1 0.000 0.500 0.500 (multiplicity 2)


No. 2
First-principles (PBE-GGA) data for a geometry-optimized CrCo3 structure, as listed in Alexandria via LeMat-Bulk.

Relative energy among the computed polymorphs in eV/atom: 1.8357
Total energy in eV/atom: -5.9048

Unit cell a=4.202 b=4.202 c=4.202 alpha=90.00 beta=90.00 gamma=90.00
Space group Pm-3m (No. 221)
Unique sites:
Cr1 0.000 0.000 0.000 (multiplicity 1)
Co1 0.000 0.000 0.500 (multiplicity 3)